No. 1
A relaxed NpU2Sn crystal, computed with GGA-PBE.

## Properties
ΔE_f = 0.153 eV/atom

```
data_NpU2Sn
_chemical_formula_sum 'Np1 U2 Sn1'
_symmetry_space_group_name_H-M 'P 4/m m m'
_symmetry_Int_Tables_number 123
_symmetry_space_group_name_Hall '-P 4 2'
_cell_length_a 4.433
_cell_length_b 4.433
_cell_length_c 4.511
_cell_angle_alpha 90.00
_cell_angle_beta 90.00
_cell_angle_gamma 90.00
loop_
_atom_site_label
_atom_site_fract_x
_atom_site_fract_y
_atom_site_fract_z
_atom_site_occupancy
Np1 0.000 0.000 0.000 1
U1 0.000 0.500 0.500 1
Sn1 0.500 0.500 0.000 1
```

No. 2
A relaxed Hg3S3I crystal, computed with GGA-PBE.

## Properties
Raw formation energy = 0.093 eV/atom

```
data_Hg3S3I
_chemical_formula_sum 'Hg18 S18 I6'
_symmetry_space_group_name_H-M 'R -3'
_symmetry_Int_Tables_number 148
_symmetry_space_group_name_Hall '-R 3'
_cell_length_a 7.2872
_cell_length_b 7.2872
_cell_length_c 28.3094
_cell_angle_alpha 90.00
_cell_angle_beta 90.00
_cell_angle_gamma 120.00
loop_
_atom_site_label
_atom_site_fract_x
_atom_site_fract_y
_atom_site_fract_z
_atom_site_occupancy
Hg1 0.0013 0.6496 0.4096 1
S1 0.0011 0.6819 0.6128 1
I1 0.0000 0.0000 0.1669 1
```

No. 3
A relaxed LaHoNi2 crystal, computed with GGA-PBE.

## Properties
Energy above the most stable polymorph in this dataset = 73 meV per atom
ΔE_f = -0.314 eV/atom

```
data_LaHoNi2
_chemical_formula_sum 'La1 Ho1 Ni2'
_symmetry_space_group_name_H-M 'P 4/m m m'
_symmetry_Int_Tables_number 123
_symmetry_space_group_name_Hall '-P 4 2'
_cell_length_a 3.438
_cell_length_b 3.438
_cell_length_c 6.938
_cell_angle_alpha 90.00
_cell_angle_beta 90.00
_cell_angle_gamma 90.00
loop_
_atom_site_label
_atom_site_fract_x
_atom_site_fract_y
_atom_site_fract_z
_atom_site_occupancy
La1 0.000 0.000 0.000 1
Ho1 0.000 0.000 0.500 1
Ni1 0.500 0.500 0.275 1
```

No. 4
A relaxed ZrBe2O4 crystal, computed with GGA-PBE.

## Properties
Raw formation energy = -1.950 eV/atom

```
data_ZrBe2O4
_chemical_formula_sum 'Zr2 Be4 O8'
_symmetry_space_group_name_H-M 'I 4/m m m'
_symmetry_Int_Tables_number 139
_symmetry_space_group_name_Hall '-I 4 2'
_cell_length_a 4.197
_cell_length_b 4.197
_cell_length_c 9.452
_cell_angle_alpha 90.00
_cell_angle_beta 90.00
_cell_angle_gamma 90.00
loop_
_atom_site_label
_atom_site_fract_x
_atom_site_fract_y
_atom_site_fract_z
_atom_site_occupancy
Zr1 0.000 0.000 0.000 1
Be1 0.000 0.000 0.364 1
O1 0.000 0.000 0.216 1
O2 0.000 0.500 0.000 1
```

No. 5
A relaxed CrTe2IN crystal, computed with GGA-PBE.

## Properties
Energy above the most stable polymorph in this dataset = 1048 meV per atom
Raw formation energy = 1.386 eV/atom

```
data_CrTe2IN
_chemical_formula_sum 'Cr1 Te2 I1 N1'
_symmetry_space_group_name_H-M 'P 4/m m m'
_symmetry_Int_Tables_number 123
_symmetry_space_group_name_Hall '-P 4 2'
_cell_length_a 4.817
_cell_length_b 4.817
_cell_length_c 4.747
_cell_angle_alpha 90.00
_cell_angle_beta 90.00
_cell_angle_gamma 90.00
loop_
_atom_site_label
_atom_site_fract_x
_atom_site_fract_y
_atom_site_fract_z
_atom_site_occupancy
Cr1 0.000 0.000 0.000 1
Te1 0.000 0.500 0.500 1
I1 0.500 0.500 0.000 1
N1 0.500 0.500 0.500 1
```

No. 6
A relaxed Sr2SiW crystal, computed with GGA-PBE.

## Properties
Raw formation energy = 0.940 eV/atom

```
data_Sr2SiW
_chemical_formula_sum 'Sr4 Si2 W2'
_symmetry_space_group_name_H-M 'I 4/m m m'
_symmetry_Int_Tables_number 139
_symmetry_space_group_name_Hall '-I 4 2'
_cell_length_a 4.693
_cell_length_b 4.693
_cell_length_c 9.329
_cell_angle_alpha 90.00
_cell_angle_beta 90.00
_cell_angle_gamma 90.00
loop_
_atom_site_label
_atom_site_fract_x
_atom_site_fract_y
_atom_site_fract_z
_atom_site_occupancy
Sr1 0.000 0.500 0.250 1
Si1 0.000 0.000 0.000 1
W1 0.000 0.000 0.500 1
```

| no. | total DFT energy (no corrections) (eV per formula unit) | V (Å³/atom) |
| --- | --- | --- |
| 1 | -38.9 | 22.2 |
| 2 | -14.2 | 31.0 |
| 3 | -22.3 | 20.5 |
| 4 | -49.5 | 11.9 |
| 5 | -18.9 | 22.0 |
| 6 | -18.0 | 25.7 |